# 1
{
  "formula": "Mg2OsAu",
  "functional": "PBE",
  "state": "optimized geometry",
  "space_group": "No. 10",
  "energy_ev_per_atom": -4.458,
  "e_form_ev_per_atom": -0.03,
  "lattice": [[-1.244, 2.468, -2.871], [0.371, -2.037, -1.911], [-5.188, -3.840, -1.051]],
  "species": ["Mg", "Mg", "Os", "Au"],
  "frac_coords": [[0.000, 0.987, 0.012], [0.000, 0.513, 0.488], [0.500, 0.250, 0.250], [0.500, 0.750, 0.750]]
}

# 2
{
  "formula": "PaCdP2",
  "functional": "PBE",
  "state": "optimized geometry",
  "space_group": "No. 166",
  "energy_ev_per_atom": -5.697,
  "e_form_ev_per_atom": -0.39,
  "lattice": [[4.168, 0.000, 0.000], [2.084, 3.609, 0.000], [2.084, 1.203, 7.717]],
  "species": ["P", "P", "Cd", "Pa"],
  "frac_coords": [[0.892, 0.892, 0.323], [0.108, 0.108, 0.677], [0.000, 0.000, 0.000], [0.500, 0.500, 0.500]]
}

# 3
{
  "formula": "NaLaCo",
  "functional": "PBE",
  "state": "optimized geometry",
  "space_group": "No. 5",
  "energy_ev_per_atom": -4.546,
  "e_form_ev_per_atom": -0.10,
  "lattice": [[4.000, -0.018, -0.018], [1.984, 3.436, 0.000], [0.024, -0.014, 13.484]],
  "species": ["Co", "Co", "La", "La", "Na", "Na"],
  "frac_coords": [[0.629, 0.977, 0.290], [0.963, 0.310, 0.291], [0.300, 0.643, 0.430], [0.292, 0.646, 0.152], [0.635, 0.977, 0.676], [0.954, 0.318, 0.906]]
}